CuTeIr: optimized geometry, PBE.

Calculated values
Crystal system: orthorhombic
Formation energy without anion corrections, meV per atom: 518.7
SG: Amm2
DFT total energy, hartree per atom: -0.17815

Cell: 3.6069 3.2010 11.3203 Å, 90.00 90.00 124.29°
Closest atoms and distances in Å follow each position.
Positions (direct):
Ir1 0.4873 0.9746 0.0000  6 Te 2.76-2.78
Ir2 0.3944 0.7887 0.5000  6 Cu 2.55-2.59
Cu1 0.7677 0.5354 0.6474  3 Ir 2.55-2.59, 3 Te 2.75-2.80
Cu2 0.7677 0.5354 0.3526  3 Ir 2.55-2.59, 3 Te 2.75-2.80
Te1 0.1248 0.2495 0.1757  3 Cu 2.75-2.80, 3 Ir 2.76-2.78
Te2 0.1248 0.2495 0.8243  3 Cu 2.75-2.80, 3 Ir 2.76-2.78

Al2BiPd2: optimized geometry, PBE.

Calculated values
Crystal system: tetragonal
SG: P4/mbm
DFT total energy, hartree per atom: -0.17511

Cell: 7.8430 7.8430 2.9530 Å, 90.00 90.00 90.00°
Closest atoms and distances in Å follow each position.
Positions (direct):
Pd1 0.6489 0.8511 0.5000  6 Al 2.67-2.83, 2 Pd 2.95
Pd2 0.8511 0.3511 0.5000  6 Al 2.67-2.83, 2 Pd 2.95
Pd3 0.3511 0.1489 0.5000  6 Al 2.67-2.83, 2 Pd 2.95
Pd4 0.1489 0.6489 0.5000  6 Al 2.67-2.83, 2 Pd 2.95
Al1 0.3661 0.8661 0.0000  6 Pd 2.67-2.83, 3 Al 2.95-2.97
Al2 0.6339 0.1339 0.0000  6 Pd 2.67-2.83, 3 Al 2.95-2.97
Al3 0.8661 0.6339 0.0000  6 Pd 2.67-2.83, 3 Al 2.95-2.97
Al4 0.1339 0.3661 0.0000  6 Pd 2.67-2.83, 3 Al 2.95-2.97
Bi1 0.5000 0.5000 0.0000  2 Bi 2.95, 4 Al 3.06
Bi2 0.0000 0.0000 0.0000  2 Bi 2.95, 4 Al 3.06

Number 1: calculated density 11.8 Mg/m³. Number 2: calculated density 8.7 Mg/m³.